[1]
This record from Alexandria describes a relaxed structure of BaMgTe2. The functional is GGA-PBEsol. Values from VASP.

Quantum ESPRESSO input file:
```
&SYSTEM
  ibrav = 0, nat = 4, ntyp = 3
/
ATOMIC_SPECIES
Ba 137.33 Ba.upf
Mg 24.30 Mg.upf
Te 127.60 Te.upf
ATOMIC_POSITIONS angstrom
Ba 2.226 2.082 0.242
Mg 2.226 3.560 3.920
Te 2.226 4.440 6.449
Te 0.000 2.084 3.139
CELL_PARAMETERS angstrom
4.451 0.000 0.000
0.000 5.006 0.059
-2.226 -0.175 6.802
```

Results
Size of the total moment in μB per atom: 0.000
DFT total energy in eV per atom: -3.849
Mass density in Mg/m³: 4.57
Formation energy without anion corrections in eV/atom: -1.1197

[2]
This record from Alexandria describes a relaxed structure of IrCl3. The functional is GGA-PBEsol. Values from VASP.

Quantum ESPRESSO input file:
```
&SYSTEM
  ibrav = 0, nat = 16, ntyp = 2
/
ATOMIC_SPECIES
Ir 192.22 Ir.upf
Cl 35.45 Cl.upf
ATOMIC_POSITIONS angstrom
Ir 0.000 0.000 8.688
Ir 3.029 0.009 6.953
Ir 3.029 0.009 3.474
Ir 2.059 2.878 1.739
Cl 2.968 4.148 0.000
Cl 2.922 4.296 3.389
Cl 0.226 4.330 1.825
Cl 1.196 1.460 3.389
Cl -1.966 1.266 8.602
Cl 1.150 1.608 0.000
Cl 2.120 -1.261 5.214
Cl 3.938 1.279 5.214
Cl -1.063 -1.275 7.038
Cl 3.892 1.427 1.825
Cl 1.966 -1.266 8.602
Cl 1.063 1.275 7.038
CELL_PARAMETERS angstrom
6.058 0.017 0.000
-1.940 5.739 0.000
-2.059 -2.878 10.427
```

Results
Size of the total moment in μB per atom: 0.000
DFT total energy in eV per atom: -4.454
Mass density in Mg/m³: 5.47
Formation energy without anion corrections in eV/atom: -0.4922

[3]
This record from Alexandria describes a relaxed structure of NaLa2BAs. The functional is GGA-PBEsol. Values from VASP.

Quantum ESPRESSO input file:
```
&SYSTEM
  ibrav = 0, nat = 5, ntyp = 4
/
ATOMIC_SPECIES
Na 22.99 Na.upf
As 74.92 As.upf
B 10.81 B.upf
La 138.91 La.upf
ATOMIC_POSITIONS angstrom
Na 0.000 0.000 0.000
As -0.458 -3.618 2.466
B -0.897 -1.681 -0.861
La -1.517 -0.345 2.255
La 1.955 -1.592 1.071
CELL_PARAMETERS angstrom
-1.794 -3.362 -1.721
3.911 -3.184 2.142
-3.033 -0.691 4.510
```

Results
Calculated formation energy in eV/atom: 0.834
Size of the total moment in μB per atom: 0.001
DFT total energy in eV per atom: -4.009
Mass density in Mg/m³: 5.11

[4]
This record from Alexandria describes a relaxed structure of Zr2MnCu. The functional is GGA-PBEsol. Values from VASP.

Quantum ESPRESSO input file:
```
&SYSTEM
  ibrav = 0, nat = 4, ntyp = 3
/
ATOMIC_SPECIES
Mn 54.94 Mn.upf
Cu 63.55 Cu.upf
Zr 91.22 Zr.upf
ATOMIC_POSITIONS angstrom
Mn 1.572 1.590 3.205
Cu 1.590 1.590 0.009
Zr 3.153 0.000 4.732
Zr -0.009 0.000 1.677
CELL_PARAMETERS angstrom
3.181 0.000 0.017
0.000 3.181 0.000
-0.036 0.000 6.392
```

Results
Calculated formation energy in eV/atom: -0.103
Size of the total moment in μB per atom: 0.000
DFT total energy in eV per atom: -8.172
Mass density in Mg/m³: 7.73

- Look up the mass density of the first one.
  4.57 Mg/m³

- Which value of size of the total moment does entry 4 give?
  0.000 μB per atom

- Number 4 is which compound?
  Zr2MnCu